VASP calculation (PBE) on a geometry-optimized AlZn2Ga8 structure.

Cell lengths 3.5590, 10.1824, 10.1821 Å; angles 131.60, 105.60, 105.60 degrees
Fractional coordinates of all 11 atoms:
Zn: 0.0000 0.3726 0.6274
Ga: 0.5000 0.7381 0.2619
Ga: 0.5000 0.2619 0.7381
Ga: 0.0199 0.0321 0.3006
Ga: 0.5011 0.6667 0.6667
Ga: 0.9801 0.6994 0.9679
Ga: 0.0199 0.3006 0.0321
Al: 0.5000 0.0000 0.0000
Ga: 0.4989 0.3333 0.3333
Zn: 0.0000 0.6274 0.3726
Ga: 0.9801 0.9679 0.6994

Calculated values
Space-group type: C2/m
Formation energy from the elements (kJ per mole of atoms): 7.60

***

VASP calculation (PBE) on a geometry-optimized Al3Zn3Ga2 structure.

Cell lengths 4.0219, 4.1962, 8.2891 Å; angles 101.73, 104.04, 90.00 degrees
Fractional coordinates of all 8 atoms:
Zn: 0.0000 0.0000 0.0000
Zn: 0.1199 0.6126 0.2398
Ga: 0.2507 0.2542 0.5015
Al: 0.6232 0.1148 0.2464
Al: 0.3768 0.8852 0.7536
Al: 0.5000 0.5000 0.0000
Zn: 0.8801 0.3874 0.7602
Ga: 0.7493 0.7458 0.4985

Calculated values
Space-group type: C2/m
Formation energy from the elements (kJ per mole of atoms): 4.76

***

Number 1: total DFT energy (no corrections) -2.69 eV per atom, V 18.9 Å³ per atom. Number 2: total DFT energy (no corrections) -2.59 eV per atom, V 16.6 Å³ per atom.